(1)
This record from the Alexandria database describes a relaxed structure of SnHgPb. The functional is PBE.

Values from the calculation:
Electronic total energy in eV per formula unit: -7.90
Density in g/cm³: 10.4
V in A^3/atom: 27.9
Energy above the most stable polymorph in this dataset in meV per atom: 7.0
Space-group type: P2_1/c
Energy of formation from the pure elements in eV per atom: 0.0373

Cell and atoms, written as extended XYZ:
```
12
Lattice="-0.879 -1.247 10.000 -5.274 -4.468 -1.021 1.676 -4.782 -0.449" Properties=species:S:1:pos:R:3 pbc="T T T"
Hg -4.368 -4.283 0.307
Hg -0.718 -3.499 5.843
Hg -3.759 -6.999 2.688
Pb -1.528 -5.992 0.373
Sn -0.138 -2.854 0.990
Pb -1.887 -6.578 5.385
Sn -4.971 -4.960 5.419
Sn 0.493 -5.538 3.111
Sn -4.339 -7.643 7.540
Hg -0.110 -6.215 8.223
Pb -2.949 -4.505 8.158
Pb -2.590 -3.919 3.146
```


(2)
This record from the Alexandria database describes a relaxed structure of Sn3Hg8Pb2. The functional is PBE.

Values from the calculation:
Electronic total energy in eV per formula unit: -21.08
Density in g/cm³: 10.9
V in A^3/atom: 27.9
Space-group type: P2/m
Energy of formation from the pure elements in eV per atom: 0.0583

Cell and atoms, written as extended XYZ:
```
13
Lattice="3.395 0.000 0.000 0.000 10.569 -4.862 0.000 0.040 10.097" Properties=species:S:1:pos:R:3 pbc="T T T"
Hg 0.000 9.451 2.715
Sn 0.000 8.426 -3.150
Hg 1.697 6.884 4.775
Hg 1.697 3.724 0.461
Hg 1.697 9.273 -0.524
Sn 1.697 0.000 0.000
Sn 0.000 2.182 8.385
Hg 3.395 6.084 -1.144
Pb 1.697 6.838 1.644
Hg 3.395 1.157 2.520
Hg 0.000 4.525 6.380
Pb 1.697 3.770 3.591
Hg 1.697 1.335 5.759
```


(3)
This record from the Alexandria database describes a relaxed structure of Sn2Hg2Pb. The functional is PBE.

Values from the calculation:
Electronic total energy in eV per formula unit: -10.05
Density in g/cm³: 7.3
V in A^3/atom: 38.4
Energy above the most stable polymorph in this dataset in meV per atom: 409.9
Space-group type: P4/mmm
Energy of formation from the pure elements in eV per atom: 0.4532

Cell and atoms, written as extended XYZ:
```
5
Lattice="-5.569 -0.274 1.440 -0.546 -4.862 -3.037 1.367 -3.089 4.698" Properties=species:S:1:pos:R:3 pbc="T T T"
Hg -0.273 -2.431 -1.519
Sn 0.410 -3.975 0.831
Pb 0.000 0.000 0.000
Hg -2.784 -0.137 0.720
Sn -2.101 -1.681 3.069
```


(4)
This record from the Alexandria database describes a relaxed structure of Sn3Hg2Pb. The functional is PBE.

Values from the calculation:
Electronic total energy in eV per formula unit: -15.99
Density in g/cm³: 9.4
V in A^3/atom: 28.5
Space-group type: P2_1/m
Energy of formation from the pure elements in eV per atom: 0.0552

Cell and atoms, written as extended XYZ:
```
12
Lattice="-1.880 -2.723 -0.110 6.700 -4.822 4.895 -7.076 4.583 7.499" Properties=species:S:1:pos:R:3 pbc="T T T"
Hg 1.795 -2.373 3.172
Sn -0.795 -0.521 1.587
Sn -3.782 -0.533 3.114
Sn 1.526 -2.429 9.170
Hg -1.698 -2.152 7.587
Sn 3.242 -5.443 4.634
Hg -0.558 -0.810 4.697
Sn -1.460 -2.441 10.698
Pb 0.771 -3.796 6.074
Pb -3.027 0.833 6.211
Hg -4.050 -0.589 9.113
Sn -5.498 2.481 7.651
```


(5)
This record from the Alexandria database describes a relaxed structure of SnHg3Pb4. The functional is PBE.

Values from the calculation:
Electronic total energy in eV per formula unit: -19.58
Density in g/cm³: 11.3
V in A^3/atom: 28.5
Energy above the most stable polymorph in this dataset in meV per atom: 0.0
Space-group type: C2/m
Energy of formation from the pure elements in eV per atom: 0.0196

Cell and atoms, written as extended XYZ:
```
8
Lattice="-2.193 4.323 -1.643 -4.545 -2.348 -0.110 1.977 1.442 9.127" Properties=species:S:1:pos:R:3 pbc="T T T"
Pb -3.721 1.602 1.210
Pb -0.347 0.617 2.086
Sn -1.097 2.161 -0.822
Hg -1.801 3.387 3.343
Hg -2.961 0.030 4.031
Pb -1.040 1.815 6.165
Pb -4.415 2.800 5.288
Hg -2.273 -1.174 -0.055
```


(6)
This record from the Alexandria database describes a relaxed structure of Sn2HgPb8. The functional is PBE.

Values from the calculation:
Electronic total energy in eV per formula unit: -37.73
Density in g/cm³: 10.4
V in A^3/atom: 30.3
Energy above the most stable polymorph in this dataset in meV per atom: 0.0
Space-group type: C2/m
Energy of formation from the pure elements in eV per atom: 0.0220

Cell and atoms, written as extended XYZ:
```
11
Lattice="3.427 0.000 -0.913 -0.377 10.242 -1.415 0.627 0.595 9.243" Properties=species:S:1:pos:R:3 pbc="T T T"
Hg 1.713 0.000 -0.456
Pb 3.111 8.811 4.792
Pb 3.743 3.252 7.165
Pb 0.565 2.027 2.123
Pb 2.224 9.492 1.460
Pb 1.695 5.988 6.363
Sn 2.834 4.076 3.751
Sn 0.843 6.762 3.164
Pb 1.453 1.346 5.455
Pb 1.982 4.850 0.551
Pb -0.067 7.586 -0.250
```